Entry 1:
## CsPaBr4 (PBE-GGA)

Data for crystalline CsPaBr4 at its relaxed geometry.

Results
As for the formation energy without anion corrections: -35.83 kcal/mol of atoms.

Lattice parameters (Å, degrees): 6.793 9.289 9.289 56.84 102.20 102.20
Sites, in units of the cell vectors:
1 Br 0.435 0.188 0.590
2 Br 0.907 0.342 0.342
3 Br 0.435 0.590 0.188
4 Br 0.093 0.658 0.658
5 Br 0.565 0.410 0.812
6 Br 0.565 0.812 0.410
7 Br 0.000 0.220 0.780
8 Br 0.000 0.780 0.220
9 Cs 0.753 0.813 0.813
10 Cs 0.247 0.187 0.187
11 Pa 0.250 0.500 0.500
12 Pa 0.750 0.500 0.500

***

Entry 2:
## CsPa2Br8 (PBE-GGA)

Data for crystalline CsPa2Br8 at its relaxed geometry.

Results
Its distance to the lowest polymorph of the same formula is 0.000 eV/atom. As for the formation energy without anion corrections: -33.84 kcal/mol of atoms.

Lattice parameters (Å, degrees): 9.307 7.935 7.935 59.63 105.78 105.78
Sites, in units of the cell vectors:
1 Br 0.231 0.802 0.802
2 Br 0.765 0.712 0.712
3 Br 0.769 0.198 0.198
4 Br 0.627 0.161 0.658
5 Br 0.373 0.342 0.839
6 Br 0.373 0.839 0.342
7 Br 0.627 0.658 0.161
8 Br 0.235 0.288 0.288
9 Cs 0.000 0.000 0.000
10 Pa 0.506 0.248 0.248
11 Pa 0.494 0.752 0.752

***

Entry 3:
## CsPa2Br8 (PBE-GGA)

Data for crystalline CsPa2Br8 at its relaxed geometry.

Results
Its distance to the lowest polymorph of the same formula is 0.102 eV/atom. As for the formation energy without anion corrections: -31.49 kcal/mol of atoms.

Lattice parameters (Å, degrees): 5.794 10.542 10.543 120.00 90.01 90.00
Sites, in units of the cell vectors:
1 Br 0.274 0.182 0.366
2 Br 0.274 0.184 0.818
3 Br 0.274 0.634 0.816
4 Br 0.726 0.366 0.184
5 Br 0.771 0.333 0.667
6 Br 0.229 0.667 0.333
7 Br 0.726 0.816 0.182
8 Br 0.726 0.818 0.634
9 Pa 0.730 0.667 0.333
10 Pa 0.270 0.333 0.667
11 Cs 0.000 0.000 0.000

***

Entry 4:
## CsRbPaBr6 (PBE-GGA)

Data for crystalline CsRbPaBr6 at its relaxed geometry.

Results
As for the formation energy without anion corrections: -38.16 kcal/mol of atoms.

Lattice parameters (Å, degrees): 8.671 8.671 13.082 90.00 90.00 120.00
Sites, in units of the cell vectors:
1 Rb 0.000 0.000 0.000
2 Rb 0.000 0.000 0.500
3 Br 0.325 0.396 0.874
4 Br 0.072 0.675 0.874
5 Br 0.675 0.604 0.126
6 Br 0.396 0.072 0.126
7 Br 0.396 0.325 0.374
8 Br 0.325 0.928 0.626
9 Br 0.675 0.072 0.374
10 Br 0.928 0.325 0.126
11 Br 0.604 0.675 0.626
12 Br 0.928 0.604 0.374
13 Br 0.072 0.396 0.626
14 Br 0.604 0.928 0.874
15 Pa 0.333 0.667 0.750
16 Pa 0.667 0.333 0.250
17 Cs 0.333 0.667 0.250
18 Cs 0.667 0.333 0.750

***

Entry 5:
## CsRb2PaBr8 (PBE-GGA)

Data for crystalline CsRb2PaBr8 at its relaxed geometry.

Results
As for the formation energy without anion corrections: -36.28 kcal/mol of atoms.

Lattice parameters (Å, degrees): 6.385 8.455 10.967 89.83 89.62 103.79
Sites, in units of the cell vectors:
1 Br 0.641 0.746 0.998
2 Br 0.832 0.155 0.179
3 Br 0.559 0.255 0.500
4 Br 0.161 0.839 0.178
5 Br 0.441 0.745 0.500
6 Br 0.168 0.845 0.821
7 Br 0.359 0.254 0.002
8 Br 0.839 0.161 0.822
9 Rb 0.495 0.498 0.723
10 Rb 0.505 0.502 0.277
11 Cs 0.000 0.000 0.500
12 Pa 0.000 0.000 0.000

***

Entry 6:
## Cs3Pa2S5Br2 (PBE-GGA)

Data for crystalline Cs3Pa2S5Br2 at its relaxed geometry.

Results
As for the formation energy without anion corrections: -37.55 kcal/mol of atoms.

Lattice parameters (Å, degrees): 5.333 5.333 15.163 100.13 100.13 90.00
Sites, in units of the cell vectors:
1 S 0.906 0.406 0.813
2 S 0.406 0.906 0.813
3 S 0.094 0.594 0.187
4 S 0.594 0.094 0.187
5 S 0.500 0.500 0.000
6 Cs 0.821 0.821 0.642
7 Cs 0.000 0.000 0.000
8 Cs 0.179 0.179 0.358
9 Br 0.309 0.309 0.618
10 Br 0.691 0.691 0.382
11 Pa 0.590 0.590 0.180
12 Pa 0.410 0.410 0.820

***

Number 1: E -52.73 eV per cell, M_tot 2.80 μB/cell. Number 2: E -49.37 eV per cell, M_tot 3.00 μB/cell. Number 3: E -48.25 eV per cell, M_tot 3.00 μB/cell. Number 4: E -72.50 eV per cell, M_tot 2.01 μB/cell. Number 5: E -44.55 eV per cell, M_tot 0.00 μB/cell. Number 6: E -65.08 eV per cell, M_tot 1.08 μB/cell.